Entry 1:
## ZnHgW (GGA-PBE)

Data for a geometry-optimized ZnHgW structure.

Computed properties:
Relative energy among the computed polymorphs = 14.6 meV/atom
Calculated volume = 52.17 Å³/cell
Mass density = 14.3 g/cm3
Fermi-level density of states = 1.503 states/eV per cell

a = 6.9218 Å, b = 6.9218 Å, c = 6.9218 Å
α = 156.62°, β = 156.62°, γ = 33.30°
Positions (direct):
Zn  0.0000  0.0000  0.0000
Hg  0.3241  0.3241  0.0000
W  0.6475  0.6475  0.0000

---

Entry 2:
## ZnHg2W (GGA-PBE)

Data for a geometry-optimized ZnHg2W structure.

Computed properties:
Calculated volume = 76.56 Å³/cell
Total DFT energy (no corrections) = -3.234 eV/atom
Mass density = 14.1 g/cm3
Fermi-level density of states = 1.737 states/eV per cell

a = 2.8565 Å, b = 2.8565 Å, c = 9.3823 Å
α = 90.00°, β = 90.00°, γ = 90.19°
Positions (direct):
Zn  0.0000  0.0000  0.0000
Hg  0.0000  0.0000  0.4448
Hg  0.5000  0.5000  0.7445
W  0.5000  0.5000  0.2014

---

Entry 3:
## ZnHgW (GGA-PBE)

Data for a geometry-optimized ZnHgW structure.

Computed properties:
Relative energy among the computed polymorphs = 776.4 meV/atom
Calculated volume = 63.13 Å³/cell
Mass density = 11.8 g/cm3
Fermi-level density of states = 4.945 states/eV per cell

a = 4.4695 Å, b = 4.4695 Å, c = 4.4695 Å
α = 60.00°, β = 60.00°, γ = 60.00°
Positions (direct):
Zn  0.0000  0.0000  0.0000
Hg  0.5000  0.5000  0.5000
W  0.2500  0.2500  0.2500

---

Entry 4:
## ZnHgW (GGA-PBE)

Data for a geometry-optimized ZnHgW structure.

Computed properties:
Relative energy among the computed polymorphs = 0.0 meV/atom
Calculated volume = 52.47 Å³/cell
Mass density = 14.2 g/cm3
Fermi-level density of states = 2.056 states/eV per cell

a = 2.9127 Å, b = 2.9127 Å, c = 7.1417 Å
α = 90.00°, β = 90.00°, γ = 120.00°
Positions (direct):
Zn  0.0000  0.0000  0.0000
Hg  0.6667  0.3333  0.3467
W  0.3333  0.6667  0.6955

---

Entry 5:
## ZnHg2W (GGA-PBE)

Data for a geometry-optimized ZnHg2W structure.

Computed properties:
Calculated volume = 76.22 Å³/cell
Total DFT energy (no corrections) = -3.120 eV/atom
Mass density = 14.2 g/cm3
Fermi-level density of states = 1.969 states/eV per cell

a = 3.0522 Å, b = 3.0522 Å, c = 9.8185 Å
α = 90.00°, β = 90.00°, γ = 123.57°
Positions (direct):
Zn  0.0000  0.0000  0.0000
Hg  0.5000  0.5000  0.2439
Hg  0.5000  0.5000  0.7561
W  0.0000  0.0000  0.5000

---

Entry 6:
## Zn2HgW2 (GGA-PBE)

Data for a geometry-optimized Zn2HgW2 structure.

Computed properties:
Relative energy among the computed polymorphs = 261.6 meV/atom
Calculated volume = 88.20 Å³/cell
Mass density = 13.2 g/cm3
Fermi-level density of states = 2.453 states/eV per cell

a = 6.9887 Å, b = 6.9887 Å, c = 6.9887 Å
α = 149.40°, β = 149.40°, γ = 43.82°
Positions (direct):
Zn  0.2500  0.7500  0.5000
Zn  0.7500  0.2500  0.5000
Hg  0.0000  0.0000  0.0000
W  0.4054  0.4054  0.0000
W  0.5946  0.5946  0.0000

---

Entry 7:
## Zn2HgW2 (GGA-PBE)

Data for a geometry-optimized Zn2HgW2 structure.

Computed properties:
Relative energy among the computed polymorphs = 0.0 meV/atom
Calculated volume = 173.94 Å³/cell
Mass density = 13.3 g/cm3
Fermi-level density of states = 6.685 states/eV per cell

a = 7.4900 Å, b = 7.4900 Å, c = 3.1005 Å
α = 90.00°, β = 90.00°, γ = 90.00°
Positions (direct):
Zn  0.1801  0.3199  0.0000
Zn  0.3199  0.8199  0.0000
Zn  0.6801  0.1801  0.0000
Zn  0.8199  0.6801  0.0000
Hg  0.0000  0.0000  0.5000
Hg  0.5000  0.5000  0.5000
W  0.1154  0.6154  0.5000
W  0.3846  0.1154  0.5000
W  0.6154  0.8846  0.5000
W  0.8846  0.3846  0.5000

---

Entry 8:
## ZnHg2W (GGA-PBE)

Data for a geometry-optimized ZnHg2W structure.

Computed properties:
Calculated volume = 74.14 Å³/cell
Total DFT energy (no corrections) = -3.018 eV/atom
Mass density = 14.6 g/cm3
Fermi-level density of states = 2.728 states/eV per cell

a = 5.2162 Å, b = 5.2162 Å, c = 5.2535 Å
α = 102.78°, β = 102.78°, γ = 32.21°
Positions (direct):
Zn  0.0000  0.0000  0.0000
Hg  0.2541  0.2541  0.7486
Hg  0.7459  0.7459  0.2514
W  0.5000  0.5000  0.5000

---

Entry 9:
## Zr2ZnHgW (GGA-PBE)

Data for a geometry-optimized Zr2ZnHgW structure.

Computed properties:
Calculated volume = 124.79 Å³/cell
Total DFT energy (no corrections) = -4.798 eV/atom
Mass density = 8.4 g/cm3
Fermi-level density of states = 5.611 states/eV per cell

a = 5.2376 Å, b = 5.2376 Å, c = 4.5492 Å
α = 90.00°, β = 90.00°, γ = 90.00°
Positions (direct):
Zr  0.0000  0.5000  0.0000
Zr  0.5000  0.0000  0.0000
Zn  0.0000  0.0000  0.5000
Hg  0.0000  0.0000  0.0000
W  0.5000  0.5000  0.5000

---

Entry 10:
## ZrHg2W (GGA-PBE)

Data for a geometry-optimized ZrHg2W structure.

Computed properties:
Calculated volume = 79.12 Å³/cell
Total DFT energy (no corrections) = -4.973 eV/atom
Mass density = 14.2 g/cm3
Fermi-level density of states = 5.670 states/eV per cell

a = 4.8187 Å, b = 4.8187 Å, c = 4.8187 Å
α = 60.00°, β = 60.00°, γ = 60.00°
Positions (direct):
Zr  0.0000  0.0000  0.0000
Hg  0.2500  0.2500  0.2500
Hg  0.7500  0.7500  0.7500
W  0.5000  0.5000  0.5000

---

Entry 11:
## ZrHg2W (GGA-PBE)

Data for a geometry-optimized ZrHg2W structure.

Computed properties:
Calculated volume = 79.41 Å³/cell
Total DFT energy (no corrections) = -5.071 eV/atom
Mass density = 14.1 g/cm3
Fermi-level density of states = 2.496 states/eV per cell

a = 5.4164 Å, b = 5.4164 Å, c = 5.4164 Å
α = 134.56°, β = 134.56°, γ = 66.21°
Positions (direct):
Zr  0.0000  0.0000  0.0000
Hg  0.2500  0.7500  0.5000
Hg  0.5000  0.5000  0.0000
W  0.7500  0.2500  0.5000

---

Entry 12:
## ZrHg4W (GGA-PBE)

Data for a geometry-optimized ZrHg4W structure.

Computed properties:
Calculated volume = 124.42 Å³/cell
Total DFT energy (no corrections) = -3.126 eV/atom
Mass density = 14.4 g/cm3
Fermi-level density of states = 2.627 states/eV per cell

a = 5.6037 Å, b = 5.6037 Å, c = 5.6037 Å
α = 60.00°, β = 60.00°, γ = 60.00°
Positions (direct):
Zr  0.0000  0.0000  0.0000
Hg  0.1257  0.6248  0.6248
Hg  0.6248  0.1257  0.6248
Hg  0.6248  0.6248  0.1257
Hg  0.6248  0.6248  0.6248
W  0.2500  0.2500  0.2500